[1]
The following is a DFT calculation (PBE-GGA) of crystalline ZnSb2IF at its relaxed geometry.

Properties
- Energy above the lowest structure with this stoichiometry: 173 meV per atom
- Formation energy without anion corrections: 0.207 eV per atom

Cell lengths 5.2107, 5.2107, 5.4820 Å; angles 90.00, 90.00, 90.00 degrees
Closest atoms and distances in Å follow each position.
Space group P4/mmm (No. 123)
Asymmetric unit:
Zn1 0.0000 0.0000 0.0000 (multiplicity 1)  4 Sb 2.61, 2 I 2.74
Sb1 0.0000 0.5000 0.0000 (multiplicity 2)  2 Zn 2.61
I1 0.0000 0.0000 0.5000 (multiplicity 1)  2 Zn 2.74
F1 0.5000 0.5000 0.5000 (multiplicity 1)  4 I 3.68, 8 Sb 3.78

=====

[2]
The following is a DFT calculation (PBE-GGA) of crystalline ZnSb2IF at its relaxed geometry.

Properties
- Energy above the lowest structure with this stoichiometry: 0 meV per atom
- Formation energy without anion corrections: 0.034 eV per atom

Cell lengths 4.7368, 4.7368, 5.9483 Å; angles 90.00, 90.00, 90.00 degrees
Closest atoms and distances in Å follow each position.
Space group P4/mmm (No. 123)
Asymmetric unit:
Zn1 0.0000 0.0000 0.0000 (multiplicity 1)  4 I 3.35
Sb1 0.0000 0.5000 0.5000 (multiplicity 2)  2 F 2.37
I1 0.5000 0.5000 0.0000 (multiplicity 1)  2 F 2.97
F1 0.5000 0.5000 0.5000 (multiplicity 1)  4 Sb 2.37

=====

[3]
The following is a DFT calculation (PBE-GGA) of crystalline ScSnI2F at its relaxed geometry.

Properties
- Formation energy without anion corrections: -0.583 eV per atom

Cell lengths 6.2538, 6.2538, 4.3948 Å; angles 90.00, 90.00, 90.00 degrees
Closest atoms and distances in Å follow each position.
Space group P4/mmm (No. 123)
Asymmetric unit:
Sc1 0.0000 0.0000 0.0000 (multiplicity 1)  8 I 3.82
Sn1 0.5000 0.5000 0.5000 (multiplicity 1)  2 F 2.20
I1 0.0000 0.5000 0.5000 (multiplicity 2)  2 Sn 3.13
F1 0.5000 0.5000 0.0000 (multiplicity 1)  2 Sn 2.20

=====

[4]
The following is a DFT calculation (PBE-GGA) of crystalline SrScIF2 at its relaxed geometry.

Properties
- Formation energy without anion corrections: -0.907 eV per atom

Cell lengths 5.5409, 5.5409, 5.1413 Å; angles 90.00, 90.00, 90.00 degrees
Closest atoms and distances in Å follow each position.
Space group P4/mmm (No. 123)
Asymmetric unit:
Sr1 0.0000 0.0000 0.0000 (multiplicity 1)  8 F 3.78, 4 Sc 3.92
Sc1 0.5000 0.5000 0.0000 (multiplicity 1)  2 I 2.57
I1 0.5000 0.5000 0.5000 (multiplicity 1)  2 Sc 2.57, 4 F 2.77
F1 0.0000 0.5000 0.5000 (multiplicity 2)  2 I 2.77

=====

[5]
The following is a DFT calculation (PBE-GGA) of crystalline ScTeI2F at its relaxed geometry.

Properties
- Energy above the lowest structure with this stoichiometry: 0 meV per atom
- Formation energy without anion corrections: -0.589 eV per atom

Cell lengths 5.6081, 5.6081, 5.7079 Å; angles 90.00, 90.00, 90.00 degrees
Closest atoms and distances in Å follow each position.
Space group P4/mmm (No. 123)
Asymmetric unit:
Sc1 0.0000 0.0000 0.0000 (multiplicity 1)  4 I 2.80, 2 Te 2.85
Te1 0.0000 0.0000 0.5000 (multiplicity 1)  2 Sc 2.85
I1 0.0000 0.5000 0.0000 (multiplicity 2)  2 Sc 2.80
F1 0.5000 0.5000 0.5000 (multiplicity 1)  4 Te 3.97, 8 I 4.00

=====

[6]
The following is a DFT calculation (PBE-GGA) of crystalline ScTeI2F at its relaxed geometry.

Properties
- Energy above the lowest structure with this stoichiometry: 265 meV per atom
- Formation energy without anion corrections: -0.324 eV per atom

Cell lengths 5.7760, 5.7760, 4.2970 Å; angles 90.00, 90.00, 90.00 degrees
Closest atoms and distances in Å follow each position.
Space group P4/mmm (No. 123)
Asymmetric unit:
Sc1 0.0000 0.0000 0.0000 (multiplicity 1)  8 I 3.60
Te1 0.5000 0.5000 0.0000 (multiplicity 1)  2 F 2.15
I1 0.0000 0.5000 0.5000 (multiplicity 2)  2 F 2.89
F1 0.5000 0.5000 0.5000 (multiplicity 1)  2 Te 2.15

=====

[7]
The following is a DFT calculation (PBE-GGA) of crystalline ScTlI2F at its relaxed geometry.

Properties
- Formation energy without anion corrections: -1.531 eV per atom

Cell lengths 6.0723, 6.0723, 4.1405 Å; angles 90.00, 90.00, 90.00 degrees
Closest atoms and distances in Å follow each position.
Space group P4/mmm (No. 123)
Asymmetric unit:
Sc1 0.0000 0.0000 0.0000 (multiplicity 1)  2 F 2.07
Tl1 0.5000 0.5000 0.5000 (multiplicity 1)  8 I 3.67
I1 0.0000 0.5000 0.0000 (multiplicity 2)  2 Sc 3.04
F1 0.0000 0.0000 0.5000 (multiplicity 1)  2 Sc 2.07

=====

[8]
The following is a DFT calculation (PBE-GGA) of crystalline Sc2ZnIF at its relaxed geometry.

Properties
- Formation energy without anion corrections: -0.414 eV per atom

Cell lengths 5.1993, 5.1993, 4.4477 Å; angles 90.00, 90.00, 90.00 degrees
Closest atoms and distances in Å follow each position.
Space group P4/mmm (No. 123)
Asymmetric unit:
Sc1 0.0000 0.5000 0.0000 (multiplicity 2)  2 Zn 2.60
Zn1 0.0000 0.0000 0.0000 (multiplicity 1)  2 F 2.22
I1 0.5000 0.5000 0.5000 (multiplicity 1)  8 Sc 3.42, 4 F 3.68
F1 0.0000 0.0000 0.5000 (multiplicity 1)  2 Zn 2.22

=====

[9]
The following is a DFT calculation (PBE-GGA) of crystalline SeI2F at its relaxed geometry.

Properties
- Energy above the lowest structure with this stoichiometry: 515 meV per atom
- Formation energy without anion corrections: 0.052 eV per atom

Cell lengths 5.3907, 5.3907, 16.9405 Å; angles 90.00, 90.00, 90.00 degrees
Closest atoms and distances in Å follow each position.
Space group I-42d (No. 122)
Asymmetric unit:
Se1 0.0000 0.0000 0.0000 (multiplicity 4)  4 I 2.82
I1 0.2374 0.2500 0.1250 (multiplicity 8)  2 Se 2.82, 2 F 2.88
F1 0.0000 0.0000 0.5000 (multiplicity 4)  4 I 2.88

=====

[10]
The following is a DFT calculation (PBE-GGA) of crystalline SeI3F at its relaxed geometry.

Properties
- Energy above the lowest structure with this stoichiometry: 0 meV per atom
- Formation energy without anion corrections: 0.181 eV per atom

Cell lengths 5.6546, 5.6546, 5.6546 Å; angles 90.00, 90.00, 90.00 degrees
Closest atoms and distances in Å follow each position.
Space group Pm-3m (No. 221)
Asymmetric unit:
Se1 0.0000 0.0000 0.0000 (multiplicity 1)  6 I 2.83
I1 0.0000 0.0000 0.5000 (multiplicity 3)  2 Se 2.83
F1 0.5000 0.5000 0.5000 (multiplicity 1)  12 I 4.00

=====

[11]
The following is a DFT calculation (PBE-GGA) of crystalline SeIF3 at its relaxed geometry.

Properties
- Energy above the lowest structure with this stoichiometry: 610 meV per atom
- Formation energy without anion corrections: -0.529 eV per atom

Cell lengths 4.4497, 4.4497, 4.4497 Å; angles 90.00, 90.00, 90.00 degrees
Closest atoms and distances in Å follow each position.
Space group Pm-3m (No. 221)
Asymmetric unit:
Se1 0.0000 0.0000 0.0000 (multiplicity 1)  6 F 2.22
I1 0.5000 0.5000 0.5000 (multiplicity 1)  12 F 3.15
F1 0.0000 0.0000 0.5000 (multiplicity 3)  2 Se 2.22

=====

[12]
The following is a DFT calculation (PBE-GGA) of crystalline SeIF2 at its relaxed geometry.

Properties
- Energy above the lowest structure with this stoichiometry: 597 meV per atom
- Formation energy without anion corrections: -0.402 eV per atom

Cell lengths 4.4959, 4.4959, 15.0429 Å; angles 90.00, 90.00, 90.00 degrees
Closest atoms and distances in Å follow each position.
Space group I-42d (No. 122)
Asymmetric unit:
Se1 0.0000 0.0000 0.0000 (multiplicity 4)  4 F 2.23
I1 0.0000 0.0000 0.5000 (multiplicity 4)  4 F 2.86, 4 Se 3.18
F1 0.0913 0.2500 0.1250 (multiplicity 8)  2 Se 2.23, 2 F 2.39

=====

[13]
The following is a DFT calculation (PBE-GGA) of crystalline Se3IF at its relaxed geometry.

Properties
- Formation energy without anion corrections: 0.841 eV per atom

Cell lengths 5.4069, 5.4069, 5.4069 Å; angles 90.00, 90.00, 90.00 degrees
Closest atoms and distances in Å follow each position.
Space group Pm-3m (No. 221)
Asymmetric unit:
Se1 0.0000 0.0000 0.5000 (multiplicity 3)  2 I 2.70
I1 0.0000 0.0000 0.0000 (multiplicity 1)  6 Se 2.70
F1 0.5000 0.5000 0.5000 (multiplicity 1)  12 Se 3.82